Pr2Zn2SbAsP2: relaxed, PBE. Values from VASP.

```
&SYSTEM
  ibrav = 0, nat = 8, ntyp = 5
/
ATOMIC_SPECIES
Pr 140.91 Pr.upf
As 74.92 As.upf
Sb 121.76 Sb.upf
Zn 65.41 Zn.upf
P 30.97 P.upf
CELL_PARAMETERS angstrom
-3.1510 -0.3334 2.5225
-1.2622 -3.2815 -2.0105
5.6952 -6.0588 6.3135
ATOMIC_POSITIONS crystal
Pr 0.0000 0.5000 0.2364
Pr 0.5000 0.0000 0.7636
As 0.5000 0.5000 0.0000
Sb 0.0000 0.0000 0.0000
Zn 0.0000 0.0000 0.5000
Zn 0.5000 0.5000 0.5000
P 0.0000 0.5000 0.6510
P 0.5000 0.0000 0.3490
```

Values from the calculation:
SG = P-4m2, No. 115
calculated total energy = -37.11 eV/cell